1.
! RbIn6Se8 (PBE-GGA, relaxed); values from VASP
! Volume, Å³/cell: 599.20
! Raw formation energy, eV/atom: -0.221
! Offset from the most stable computed form, kcal/mol of atoms: 6.65
! Crystal system: cubic
&SYSTEM
  ibrav = 0, nat = 15, ntyp = 3
/
ATOMIC_SPECIES
Rb 85.47 Rb.upf
In 114.82 In.upf
Se 78.96 Se.upf
CELL_PARAMETERS angstrom
0.000 6.691 6.691
6.691 0.000 6.691
6.691 6.691 0.000
ATOMIC_POSITIONS crystal
Rb 0.000 0.000 0.000
In 0.000 0.000 0.500
In 0.000 0.500 0.000
In 0.000 0.500 0.500
In 0.500 0.000 0.000
In 0.500 0.000 0.500
In 0.500 0.500 0.000
Se 0.143 0.143 0.143
Se 0.143 0.143 0.570
Se 0.143 0.570 0.143
Se 0.430 0.857 0.857
Se 0.570 0.143 0.143
Se 0.857 0.430 0.857
Se 0.857 0.857 0.430
Se 0.857 0.857 0.857

2.
! PrCdIn3 (PBE-GGA, relaxed); values from VASP
! Volume, Å³/cell: 273.31
! Energy of formation from the pure elements, eV per formula unit: -1.1
! Offset from the most stable computed form, kcal/mol of atoms: 0.00
! Crystal system: orthorhombic
&SYSTEM
  ibrav = 0, nat = 10, ntyp = 3
/
ATOMIC_SPECIES
Pr 140.91 Pr.upf
Cd 112.41 Cd.upf
In 114.82 In.upf
CELL_PARAMETERS angstrom
4.637 0.000 0.000
0.000 7.561 0.000
0.000 0.000 7.796
ATOMIC_POSITIONS crystal
Pr 0.250 0.250 0.189
Pr 0.750 0.750 0.811
Cd 0.250 0.750 0.481
Cd 0.750 0.250 0.519
In 0.250 0.053 0.718
In 0.250 0.447 0.718
In 0.250 0.750 0.097
In 0.750 0.250 0.903
In 0.750 0.553 0.282
In 0.750 0.947 0.282

3.
! CePrIr2 (PBE-GGA, relaxed); values from VASP
! Volume, Å³/cell: 91.98
! Energy of formation from the pure elements, eV per formula unit: -2.7
! Offset from the most stable computed form, kcal/mol of atoms: 0.19
! Crystal system: orthorhombic
&SYSTEM
  ibrav = 0, nat = 4, ntyp = 3
/
ATOMIC_SPECIES
Ce 140.12 Ce.upf
Pr 140.91 Pr.upf
Ir 192.22 Ir.upf
CELL_PARAMETERS angstrom
4.192 0.000 0.000
0.000 1.966 5.581
0.000 -1.966 5.581
ATOMIC_POSITIONS crystal
Ce 0.000 0.000 0.000
Pr 0.500 0.722 0.722
Ir 0.000 0.280 0.280
Ir 0.500 0.455 0.455

4.
! TaCr2BiW (PBE-GGA, relaxed); values from VASP
! Volume, Å³/cell: 111.50
! Energy of formation from the pure elements, eV per formula unit: 6.9
! Crystal system: tetragonal
&SYSTEM
  ibrav = 0, nat = 5, ntyp = 4
/
ATOMIC_SPECIES
Ta 180.95 Ta.upf
Cr 52.00 Cr.upf
Bi 208.98 Bi.upf
W 183.84 W.upf
CELL_PARAMETERS angstrom
4.735 0.000 0.000
0.000 4.735 0.000
0.000 0.000 4.974
ATOMIC_POSITIONS crystal
Ta 0.000 0.000 0.000
Cr 0.000 0.500 0.500
Cr 0.500 0.000 0.500
Bi 0.500 0.500 0.000
W 0.000 0.000 0.500

5.
! Na2RuBr6 (PBE-GGA, relaxed); values from VASP
! Volume, Å³/cell: 518.90
! Raw formation energy, eV/atom: -0.806
! Offset from the most stable computed form, kcal/mol of atoms: 0.00
! Crystal system: monoclinic
&SYSTEM
  ibrav = 0, nat = 18, ntyp = 3
/
ATOMIC_SPECIES
Na 22.99 Na.upf
Ru 101.07 Ru.upf
Br 79.90 Br.upf
CELL_PARAMETERS angstrom
7.016 0.000 0.000
0.000 7.308 0.000
-6.679 0.000 10.120
ATOMIC_POSITIONS crystal
Na 0.199 0.097 0.231
Na 0.199 0.403 0.731
Na 0.801 0.597 0.269
Na 0.801 0.903 0.769
Ru 0.500 0.000 0.000
Ru 0.500 0.500 0.500
Br 0.153 0.186 0.942
Br 0.153 0.314 0.442
Br 0.275 0.711 0.947
Br 0.275 0.789 0.447
Br 0.385 0.022 0.764
Br 0.385 0.478 0.264
Br 0.615 0.522 0.736
Br 0.615 0.978 0.236
Br 0.725 0.211 0.553
Br 0.725 0.289 0.053
Br 0.847 0.686 0.558
Br 0.847 0.814 0.058

6.
! InHgN2O (PBE-GGA, relaxed); values from VASP
! Volume, Å³/cell: 80.57
! Raw formation energy, eV/atom: 1.240
! Crystal system: tetragonal
&SYSTEM
  ibrav = 0, nat = 5, ntyp = 4
/
ATOMIC_SPECIES
In 114.82 In.upf
Hg 200.59 Hg.upf
N 14.01 N.upf
O 16.00 O.upf
CELL_PARAMETERS angstrom
4.364 0.000 0.000
0.000 4.364 0.000
0.000 0.000 4.231
ATOMIC_POSITIONS crystal
In 0.000 0.000 0.000
Hg 0.500 0.500 0.500
N 0.000 0.500 0.000
N 0.500 0.000 0.000
O 0.000 0.000 0.500

7.
! In2Ru (PBE-GGA, relaxed); values from VASP
! Volume, Å³/cell: 121.81
! Energy of formation from the pure elements, eV per formula unit: 2.8
! Crystal system: cubic
&SYSTEM
  ibrav = 0, nat = 6, ntyp = 2
/
ATOMIC_SPECIES
In 114.82 In.upf
Ru 101.07 Ru.upf
CELL_PARAMETERS angstrom
0.000 3.934 3.934
3.934 0.000 3.934
3.934 3.934 0.000
ATOMIC_POSITIONS crystal
In 0.000 0.000 0.000
In 0.000 0.000 0.500
In 0.000 0.500 0.000
In 0.500 0.000 0.000
Ru 0.375 0.375 0.375
Ru 0.625 0.625 0.625

8.
! BaAl2Rh (PBE-GGA, relaxed); values from VASP
! Volume, Å³/cell: 106.69
! Energy of formation from the pure elements, eV per formula unit: -0.4
! Crystal system: orthorhombic
&SYSTEM
  ibrav = 0, nat = 4, ntyp = 3
/
ATOMIC_SPECIES
Ba 137.33 Ba.upf
Al 26.98 Al.upf
Rh 102.91 Rh.upf
CELL_PARAMETERS angstrom
-2.276 3.063 3.826
2.276 -3.063 3.826
2.276 3.063 -3.826
ATOMIC_POSITIONS crystal
Ba 0.000 0.000 0.000
Al 0.464 0.464 0.000
Al 0.672 0.172 0.500
Rh 0.355 0.855 0.500